Density functional theory data (PBE) for a relaxed Be2InP crystal.

DOS at the Fermi energy	1.39	states/eV/f.u.
SG	Pmm2, No. 25
E above lowest polymorph	204	meV per atom
energy of formation from the pure elements	350	meV per atom

Cell: 3.2173 3.2608 5.8129 Å, 90.00 90.00 90.00°
Atoms (fractional coordinates):
1 Be 0.0000 0.0000 0.0000
2 Be 0.5000 0.5000 0.2953
3 In 0.5000 0.5000 0.7564
4 P 0.0000 0.0000 0.3543